{"formula": "Be3RuS", "functional": "PBE", "state": "relaxed", "lattice_angstrom": [[-1.737, 1.878, 3.013], [-1.175, -3.469, 1.486], [3.351, -0.243, 2.082]], "species": ["Ru", "S", "Be", "Be", "Be"], "frac_coords": [[0.500, 0.500, 0.500], [0.000, 0.000, 0.000], [0.000, 0.500, 0.000], [0.000, 0.000, 0.500], [0.500, 0.000, 0.000]], "crystal_system": "cubic", "dft_energy_ev_per_atom": -4.19, "raw_formation_energy_ev_per_atom": 0.73}